Compound: Mn3Au
Source: Alexandria via LeMat-Bulk
Functional: PBE
Structure: relaxed

Values from the calculation:
The energy is -0.54449 Ry/atom. The calculation puts the energy of formation at 6.651 kcal/mol of atoms.

abc: 4.5691 4.9164 5.5198
angles: 90.00 90.00 90.00
Last column: nearest neighbours and their distance in Å.
Fractional coordinates of all 8 atoms:
1 Mn 0.5000 0.1544 0.7519  8 Mn 2.74-2.84, 4 Au 2.79-2.86
2 Mn 0.5000 0.6488 0.0000  4 Au 2.75-2.76, 8 Mn 2.79-2.84
3 Mn 0.0000 0.8456 0.7481  8 Mn 2.74-2.84, 4 Au 2.79-2.86
4 Mn 0.0000 0.3512 0.5000  4 Au 2.75-2.76, 8 Mn 2.79-2.84
5 Mn 0.5000 0.1544 0.2481  8 Mn 2.74-2.84, 4 Au 2.79-2.86
6 Mn 0.0000 0.8456 0.2519  8 Mn 2.74-2.84, 4 Au 2.79-2.86
7 Au 0.0000 0.3383 0.0000  12 Mn 2.75-2.86
8 Au 0.5000 0.6617 0.5000  12 Mn 2.75-2.86